Record 1
BiP2CCl | PBE-GGA | relaxed

The structure in POSCAR format:
```
BiP2CCl
1.0
5.3904 0.0000 0.0000
0.0000 5.3904 0.0000
0.0000 0.0000 5.3776
Bi P C Cl
1 2 1 1
direct
0.0000 0.0000 0.0000
0.0000 0.5000 0.0000
0.5000 0.0000 0.0000
0.5000 0.5000 0.5000
0.0000 0.0000 0.5000
```

Results
**Size of the total moment**: 2.61 μB per cell
**Energy relative to the lowest polymorph listed for this composition**: 115.0 kJ/mol of atoms
**Space group**: P4/mmm, No. 123
**E_form (uncorrected)**: 2.226 eV per atom

=====

Record 2
PrSmZr | PBE-GGA | relaxed

The structure in POSCAR format:
```
PrSmZr
1.0
3.8281 0.0000 0.0000
0.0000 3.8281 0.0000
0.0000 0.0000 12.8331
Pr Sm Zr
2 2 2
direct
0.2500 0.2500 0.0982
0.7500 0.7500 0.9018
0.2500 0.2500 0.7052
0.7500 0.7500 0.2948
0.2500 0.2500 0.4505
0.7500 0.7500 0.5495
```

Results
**Size of the total moment**: 0.00 μB per cell
**Energy of formation from the pure elements**: 0.087 eV per atom
**Energy relative to the lowest polymorph listed for this composition**: 0.0 kJ/mol of atoms
**Space group**: P4/nmm, No. 129